Computed, not measured: crystalline CoGeN2O at its relaxed geometry at the PBE+U level of DFT.

Values from the calculation:
* total magnetization: 4.49 μB per formula unit
* space-group type: P4/mmm, No. 123
* total energy: -5.41 eV/atom

Lattice parameters (Å, degrees): 3.8136 3.8136 3.7527 90.00 90.00 90.00
Last column: nearest neighbours and their distance in Å.
Fractional positions:
Co  0.5000  0.5000  0.5000  8 N 2.68, 4 O 2.70
O  0.0000  0.0000  0.5000  2 Ge 1.88
Ge  0.0000  0.0000  0.0000  2 O 1.88, 4 N 1.91
N  0.5000  0.0000  0.0000  2 Ge 1.91
N  0.0000  0.5000  0.0000  2 Ge 1.91